Material: Na6Tl7
Method: DFT, GGA-PBE
State: relaxed

Cell: 11.535 11.535 11.535 Å, 32.99 32.99 32.99°
Sites, in units of the cell vectors:
Na  0.053  0.053  0.053
Na  0.155  0.155  0.155
Na  0.334  0.334  0.334
Na  0.666  0.666  0.666
Na  0.845  0.845  0.845
Na  0.947  0.947  0.947
Tl  0.082  0.588  0.588
Tl  0.412  0.412  0.918
Tl  0.412  0.918  0.412
Tl  0.500  0.500  0.500
Tl  0.588  0.082  0.588
Tl  0.588  0.588  0.082
Tl  0.918  0.412  0.412

* ΔE_f: -86 meV per atom
* total energy: -1.969 eV per atom
* SG: R-3m, No. 166
* DOS at the Fermi energy: 3.0 states/eV/cell
* total moment: 0.0 μB/f.u.

***

Material: Na3Tl
Method: DFT, GGA-PBE
State: relaxed

Cell: 3.331 3.602 11.210 Å, 90.00 90.00 90.00°
Sites, in units of the cell vectors:
Na  0.000  0.000  0.000
Na  0.000  0.500  0.282
Na  0.500  0.500  0.741
Tl  0.500  0.000  0.495

* ΔE_f: 5 meV per atom
* total energy: -1.576 eV per atom
* SG: Pmm2, No. 25
* ΔE to the lowest computed polymorph: 0.084 eV per atom
* DOS at the Fermi energy: 1.8 states/eV/cell
* total moment: 0.0 μB/f.u.

***

Material: Na4Tl3
Method: DFT, GGA-PBE
State: relaxed

Cell: 12.333 12.333 12.333 Å, 163.29 157.78 27.93°
Sites, in units of the cell vectors:
Na  0.070  0.070  0.000
Na  0.211  0.211  0.000
Na  0.789  0.789  0.000
Na  0.930  0.930  0.000
Tl  0.358  0.358  0.000
Tl  0.500  0.500  0.000
Tl  0.642  0.642  0.000

* ΔE_f: -84 meV per atom
* total energy: -1.852 eV per atom
* SG: Immm, No. 71
* DOS at the Fermi energy: 5.0 states/eV/cell
* total moment: 0.0 μB/f.u.

***

Material: Na8Tl
Method: DFT, GGA-PBE
State: relaxed

Cell: 8.409 8.409 8.409 Å, 94.51 94.51 147.43°
Sites, in units of the cell vectors:
Na  0.000  0.327  0.327
Na  0.000  0.673  0.673
Na  0.327  0.000  0.327
Na  0.343  0.343  0.687
Na  0.343  0.657  0.000
Na  0.657  0.343  0.000
Na  0.657  0.657  0.313
Na  0.673  0.000  0.673
Tl  0.000  0.000  0.000

* ΔE_f: -30 meV per atom
* total energy: -1.465 eV per atom
* SG: I4/mmm, No. 139
* DOS at the Fermi energy: 4.2 states/eV/cell
* total moment: 0.0 μB/f.u.

***

Material: Na3Tl
Method: DFT, GGA-PBE
State: relaxed

Cell: 6.087 6.087 6.087 Å, 133.49 130.90 69.94°
Sites, in units of the cell vectors:
Na  0.000  0.000  0.000
Na  0.252  0.752  0.500
Na  0.748  0.248  0.500
Tl  0.500  0.500  0.000

* ΔE_f: -79 meV per atom
* total energy: -1.659 eV per atom
* SG: Immm, No. 71
* ΔE to the lowest computed polymorph: 0.000 eV per atom
* DOS at the Fermi energy: 2.0 states/eV/cell
* total moment: 0.0 μB/f.u.

***

Material: Na7Tl5
Method: DFT, GGA-PBE
State: relaxed

Cell: 5.407 5.407 14.736 Å, 99.51 99.51 59.67°
Sites, in units of the cell vectors:
Na  0.000  0.000  0.000
Na  0.191  0.191  0.576
Na  0.276  0.276  0.829
Na  0.428  0.428  0.277
Na  0.572  0.572  0.723
Na  0.724  0.724  0.171
Na  0.809  0.809  0.424
Tl  0.115  0.115  0.338
Tl  0.349  0.349  0.055
Tl  0.500  0.500  0.500
Tl  0.651  0.651  0.945
Tl  0.885  0.885  0.662

* ΔE_f: -70 meV per atom
* total energy: -1.825 eV per atom
* SG: C2/m, No. 12
* ΔE to the lowest computed polymorph: 0.018 eV per atom
* DOS at the Fermi energy: 6.0 states/eV/cell
* total moment: 0.0 μB/f.u.

***

Material: Na3Tl7
Method: DFT, GGA-PBE
State: relaxed

Cell: 9.154 9.154 6.865 Å, 101.80 101.80 31.03°
Sites, in units of the cell vectors:
Na  0.000  0.000  0.000
Na  0.195  0.195  0.606
Na  0.805  0.805  0.394
Tl  0.000  0.000  0.500
Tl  0.202  0.202  0.101
Tl  0.395  0.395  0.702
Tl  0.403  0.403  0.203
Tl  0.597  0.597  0.797
Tl  0.605  0.605  0.298
Tl  0.798  0.798  0.899

* ΔE_f: -81 meV per atom
* total energy: -2.133 eV per atom
* SG: C2/m, No. 12
* ΔE to the lowest computed polymorph: 0.000 eV per atom
* DOS at the Fermi energy: 5.1 states/eV/cell
* total moment: 0.0 μB/f.u.

***

Material: Na2Tl7
Method: DFT, GGA-PBE
State: relaxed

Cell: 16.695 16.695 16.695 Å, 22.59 22.59 22.59°
Sites, in units of the cell vectors:
Na  0.051  0.051  0.051
Na  0.150  0.150  0.150
Na  0.850  0.850  0.850
Na  0.949  0.949  0.949
Tl  0.000  0.500  0.500
Tl  0.108  0.616  0.616
Tl  0.277  0.277  0.277
Tl  0.384  0.384  0.892
Tl  0.384  0.892  0.384
Tl  0.391  0.391  0.391
Tl  0.500  0.000  0.500
Tl  0.500  0.500  0.000
Tl  0.500  0.500  0.500
Tl  0.609  0.609  0.609
Tl  0.616  0.108  0.616
Tl  0.616  0.616  0.108
Tl  0.723  0.723  0.723
Tl  0.892  0.384  0.384

* ΔE_f: 17 meV per atom
* total energy: -2.116 eV per atom
* SG: R-3m, No. 166
* ΔE to the lowest computed polymorph: 0.058 eV per atom
* DOS at the Fermi energy: 9.3 states/eV/cell
* total moment: 0.0 μB/f.u.

***

Material: Na3Tl
Method: DFT, GGA-PBE
State: relaxed

Cell: 5.566 5.566 5.566 Å, 60.00 60.00 60.00°
Sites, in units of the cell vectors:
Na  0.000  0.000  0.000
Na  0.250  0.250  0.250
Na  0.750  0.750  0.750
Tl  0.500  0.500  0.500

* ΔE_f: -72 meV per atom
* total energy: -1.653 eV per atom
* SG: Fm-3m, No. 225
* ΔE to the lowest computed polymorph: 0.006 eV per atom
* DOS at the Fermi energy: 2.4 states/eV/cell
* total moment: 0.0 μB/f.u.

***

Material: NaTl4
Method: DFT, GGA-PBE
State: relaxed

Cell: 5.633 5.633 5.633 Å, 90.00 90.00 90.00°
Sites, in units of the cell vectors:
Na  0.000  0.000  0.000
Tl  0.000  0.000  0.500
Tl  0.000  0.500  0.000
Tl  0.500  0.000  0.000
Tl  0.500  0.500  0.500

* ΔE_f: 295 meV per atom
* total energy: -1.862 eV per atom
* SG: Pm-3m, No. 221
* ΔE to the lowest computed polymorph: 0.349 eV per atom
* DOS at the Fermi energy: 2.5 states/eV/cell
* total moment: 0.0 μB/f.u.

***

Material: Na5Tl2
Method: DFT, GGA-PBE
State: relaxed

Cell: 5.782 5.782 8.010 Å, 101.71 101.71 52.96°
Sites, in units of the cell vectors:
Na  0.000  0.000  0.000
Na  0.139  0.139  0.432
Na  0.287  0.287  0.859
Na  0.713  0.713  0.141
Na  0.861  0.861  0.568
Tl  0.432  0.432  0.293
Tl  0.568  0.568  0.707

* ΔE_f: -92 meV per atom
* total energy: -1.710 eV per atom
* SG: C2/m, No. 12
* DOS at the Fermi energy: 2.2 states/eV/cell
* total moment: 0.0 μB/f.u.

***

Material: Na3Tl2
Method: DFT, GGA-PBE
State: relaxed

Cell: 8.288 8.288 8.288 Å, 68.63 68.63 68.63°
Sites, in units of the cell vectors:
Na  0.000  0.000  0.000
Na  0.149  0.405  0.634
Na  0.219  0.219  0.219
Na  0.366  0.851  0.595
Na  0.405  0.634  0.149
Na  0.595  0.366  0.851
Na  0.634  0.149  0.405
Na  0.781  0.781  0.781
Na  0.851  0.595  0.366
Tl  0.075  0.847  0.403
Tl  0.153  0.597  0.925
Tl  0.403  0.075  0.847
Tl  0.597  0.925  0.153
Tl  0.847  0.403  0.075
Tl  0.925  0.153  0.597

* ΔE_f: -57 meV per atom
* total energy: -1.795 eV per atom
* SG: R-3, No. 148
* ΔE to the lowest computed polymorph: 0.000 eV per atom
* DOS at the Fermi energy: 7.8 states/eV/cell
* total moment: 0.0 μB/f.u.